Crystalline Na2LaHg3 at its relaxed geometry. Source: the Alexandria database, functional GGA-PBE.

## Properties
Total DFT energy (no corrections), eV per atom: -1.73

Lattice parameters (Å, degrees): 8.5321 8.5321 7.5463 90.00 90.00 143.26
With the nearest neighbours (Å) after each atom.
Fractional coordinates of all 12 atoms:
Na 0.0000 0.0000 0.0000  8 Hg 3.23-3.33
Na 0.0000 0.0000 0.5000  8 Hg 3.35, 4 La 3.74
Na 0.3322 0.6678 0.0000  8 Hg 3.22-3.28
Na 0.6678 0.3322 0.0000  8 Hg 3.22-3.28
La 0.3393 0.6607 0.5000  8 Hg 3.28-3.33
La 0.6607 0.3393 0.5000  8 Hg 3.28-3.33
Hg 0.1702 0.8298 0.2485  5 Na 3.22-3.35, 3 La 3.29-3.33
Hg 0.1702 0.8298 0.7515  5 Na 3.22-3.35, 3 La 3.29-3.33
Hg 0.5000 0.5000 0.2361  6 Na 3.23-3.35, 2 La 3.28, 1 Hg 3.56
Hg 0.5000 0.5000 0.7639  6 Na 3.23-3.35, 2 La 3.28, 1 Hg 3.56
Hg 0.8298 0.1702 0.2485  5 Na 3.22-3.35, 3 La 3.29-3.33
Hg 0.8298 0.1702 0.7515  5 Na 3.22-3.35, 3 La 3.29-3.33